No. 1
A relaxed VMo2Cl crystal. Source: Alexandria via LeMat-Bulk, functional PBE-GGA.

a = 4.3843 Å, b = 4.3843 Å, c = 4.3843 Å
α = 60.00°, β = 60.00°, γ = 60.00°
Fractional coordinates of all 4 atoms:
1 Mo 0.2500 0.2500 0.2500
2 Mo 0.7500 0.7500 0.7500
3 V 0.5000 0.5000 0.5000
4 Cl 0.0000 0.0000 0.0000

ΔE_f (raw)   0.83 eV/atom
E   -7.323 eV/atom
Relative energy among the computed polymorphs   0 kJ/mol of formula units
Calculated density   7.75 g/cm³
N(E_F)   4.4 states/eV/cell
Crystal system   cubic



No. 2
A relaxed Y2BeGaPt6 crystal. Source: Alexandria via LeMat-Bulk, functional PBE-GGA.

a = 5.6528 Å, b = 7.4208 Å, c = 5.6515 Å
α = 67.59°, β = 59.99°, γ = 90.00°
Fractional coordinates of all 10 atoms:
1 Y 0.7907 0.3712 0.4183
2 Y 0.2093 0.6288 0.5817
3 Be 0.0000 0.0000 0.0000
4 Ga 0.5000 0.5000 0.0000
5 Pt 0.2403 0.2109 0.5185
6 Pt 0.7590 0.7885 0.9722
7 Pt 0.2697 0.7889 0.9719
8 Pt 0.7303 0.2111 0.0281
9 Pt 0.2410 0.2115 0.0278
10 Pt 0.7597 0.7891 0.4815

Energy of formation from the pure elements   -870 meV per atom
E   -6.463 eV/atom
Calculated density   12.86 g/cm³
N(E_F)   2.8 states/eV/cell
Crystal system   monoclinic